The following is a PBE-GGA calculation of an optimized crystal structure of NaHf2Cd2, from Alexandria via LeMat-Bulk.

**Energy relative to the lowest polymorph listed for this composition**: 0.0000 eV per atom
**Spin magnetization**: 0.0 μB/cell
**Fermi-level density of states**: 7.91 states/eV per cell
**Formation energy**: 235 meV per atom
**SG**: No. 127

Cell: 8.9810 8.9810 2.9847 Å, 90.00 90.00 90.00°
Atoms (fractional coordinates):
1 Na 0.0000 0.0000 0.0000
2 Na 0.5000 0.5000 0.0000
3 Hf 0.1207 0.3793 0.5000
4 Hf 0.3793 0.8793 0.5000
5 Hf 0.6207 0.1207 0.5000
6 Hf 0.8793 0.6207 0.5000
7 Cd 0.1740 0.6740 0.0000
8 Cd 0.3260 0.1740 0.0000
9 Cd 0.6740 0.8260 0.0000
10 Cd 0.8260 0.3260 0.0000